# 1
Density functional theory data (PBE-GGA) for an optimized crystal structure of LaZrCuTe2.

Unit cell a=6.0147 b=6.0147 c=5.0860 alpha=90.00 beta=90.00 gamma=90.00
Fractional positions:
La: 0.0000 0.0000 0.0000
Zr: 0.5000 0.5000 0.5000
Cu: 0.0000 0.0000 0.5000
Te: 0.0000 0.5000 0.0000
Te: 0.5000 0.0000 0.0000

Calculated values
Volume ... 184 Å³/cell
Formation energy from raw total energies ... 477.8 meV/atom

# 2
Density functional theory data (PBE-GGA) for an optimized crystal structure of SrCaOs2N.

Unit cell a=4.7216 b=4.7216 c=6.4328 alpha=90.00 beta=90.00 gamma=90.00
Fractional positions:
Sr: 0.0000 0.0000 0.0000
Ca: 0.0000 0.0000 0.5000
Os: 0.0000 0.5000 0.5000
Os: 0.5000 0.0000 0.5000
N: 0.5000 0.5000 0.0000

Calculated values
Volume ... 143 Å³/cell
Formation energy from raw total energies ... 2973.6 meV/atom

# 3
Density functional theory data (PBE-GGA) for an optimized crystal structure of SiBOsSe2.

Unit cell a=4.5896 b=4.5896 c=4.0196 alpha=90.00 beta=90.00 gamma=90.00
Fractional positions:
Si: 0.0000 0.0000 0.0000
B: 0.5000 0.5000 0.5000
Os: 0.5000 0.5000 0.0000
Se: 0.0000 0.5000 0.5000
Se: 0.5000 0.0000 0.5000

Calculated values
Volume ... 85 Å³/cell
Formation energy from raw total energies ... 1067.7 meV/atom

# 4
Density functional theory data (PBE-GGA) for an optimized crystal structure of Li3PmTl3.

Unit cell a=7.1512 b=7.1512 c=7.1512 alpha=90.00 beta=90.00 gamma=90.00
Fractional positions:
Li: 0.0000 0.2500 0.5000
Li: 0.0000 0.7500 0.5000
Li: 0.2500 0.5000 0.0000
Li: 0.5000 0.0000 0.2500
Li: 0.5000 0.0000 0.7500
Li: 0.7500 0.5000 0.0000
Pm: 0.0000 0.0000 0.0000
Pm: 0.5000 0.5000 0.5000
Tl: 0.0000 0.5000 0.2500
Tl: 0.0000 0.5000 0.7500
Tl: 0.2500 0.0000 0.5000
Tl: 0.5000 0.2500 0.0000
Tl: 0.5000 0.7500 0.0000
Tl: 0.7500 0.0000 0.5000

Calculated values
ΔH_f (0 K) ... 0.15 eV/atom
Volume ... 366 Å³/cell

# 5
Density functional theory data (PBE-GGA) for an optimized crystal structure of Tb2Y5Tm2.

Unit cell a=3.5514 b=6.1430 c=13.7444 alpha=90.04 beta=97.31 gamma=106.74
Fractional positions:
Tb: 0.1656 0.1076 0.2234
Tb: 0.8344 0.8924 0.7766
Y: 0.1664 0.4467 0.8869
Y: 0.1662 0.7759 0.5558
Y: 0.5000 0.0000 0.0000
Y: 0.8338 0.2241 0.4442
Y: 0.8336 0.5533 0.1131
Tm: 0.4994 0.3329 0.6660
Tm: 0.5006 0.6671 0.3340

Calculated values
Offset from the most stable computed form ... 0.0 meV/atom
ΔH_f (0 K) ... 0.02 eV/atom
Volume ... 285 Å³/cell

# 6
Density functional theory data (PBE-GGA) for an optimized crystal structure of Ca2MnH.

Unit cell a=6.2472 b=6.2472 c=6.2472 alpha=112.99 beta=112.99 gamma=102.64
Fractional positions:
Ca: 0.0197 0.6250 0.8947
Ca: 0.3750 0.2697 0.3947
Ca: 0.7303 0.1250 0.1053
Ca: 0.8750 0.9803 0.6053
Mn: 0.2500 0.7500 0.5000
Mn: 0.5000 0.5000 0.0000
H: 0.0000 0.0000 0.0000
H: 0.7500 0.2500 0.5000

Calculated values
Offset from the most stable computed form ... 0.0 meV/atom
Volume ... 186 Å³/cell

# 7
Density functional theory data (PBE-GGA) for an optimized crystal structure of CdIn2GaSn.

Unit cell a=4.0240 b=4.0240 c=15.7845 alpha=90.00 beta=90.00 gamma=90.00
Fractional positions:
Cd: 0.2500 0.2500 0.0500
Cd: 0.7500 0.7500 0.9500
In: 0.2500 0.2500 0.2619
In: 0.2500 0.2500 0.8519
In: 0.7500 0.7500 0.1481
In: 0.7500 0.7500 0.7381
Ga: 0.2500 0.7500 0.5000
Ga: 0.7500 0.2500 0.5000
Sn: 0.2500 0.2500 0.6397
Sn: 0.7500 0.7500 0.3603

Calculated values
ΔH_f (0 K) ... 0.06 eV/atom
Volume ... 256 Å³/cell

| no. | N(E_F) (states/eV per cell) | magnetic moment (μB per formula unit) |
| --- | --- | --- |
| 1 | 4.6 | 2.0 |
| 2 | 7.9 | 4.4 |
| 3 | 3.2 | 0.0 |
| 4 | 7.1 | 0.0 |
| 5 | 12.9 | 0.0 |
| 6 | 5.8 | 3.8 |
| 7 | 6.4 | 0.0 |